(1)
DFT (GGA-PBE) results for crystalline Sr2CoC2 at its relaxed geometry.

```
data_Sr2CoC2
_cell_length_a 7.898
_cell_length_b 6.833
_cell_length_c 7.275
_cell_angle_alpha 121.95
_cell_angle_beta 90.00
_cell_angle_gamma 125.30
_space_group_name_H-M_alt 'P 1'
_space_group_IT_number 1
loop_
_space_group_symop_operation_xyz
'x,y,z'
loop_
_atom_site_label
_atom_site_fract_x
_atom_site_fract_y
_atom_site_fract_z
Sr1 0.466 0.326 0.163
Sr2 0.140 0.674 0.337
Sr3 0.534 0.674 0.837
Sr4 0.860 0.326 0.663
Co1 0.000 0.000 0.250
Co2 0.000 0.000 0.750
C1 0.891 0.855 0.428
C2 0.036 0.145 0.072
C3 0.109 0.145 0.572
C4 0.964 0.855 0.928
```

As for the space group: C2/c (15).

***

(2)
DFT (GGA-PBE) results for crystalline SrCoC at its relaxed geometry.

```
data_SrCoC
_cell_length_a 6.320
_cell_length_b 5.641
_cell_length_c 6.426
_cell_angle_alpha 120.85
_cell_angle_beta 90.00
_cell_angle_gamma 90.00
_space_group_name_H-M_alt 'P 1'
_space_group_IT_number 1
loop_
_space_group_symop_operation_xyz
'x,y,z'
loop_
_atom_site_label
_atom_site_fract_x
_atom_site_fract_y
_atom_site_fract_z
Sr1 0.457 0.349 0.667
Sr2 0.957 0.651 0.833
Sr3 0.543 0.651 0.333
Sr4 0.043 0.349 0.167
Co1 0.127 0.962 0.613
Co2 0.627 0.038 0.887
Co3 0.873 0.038 0.387
Co4 0.373 0.962 0.113
C1 0.337 0.952 0.815
C2 0.837 0.048 0.685
C3 0.663 0.048 0.185
C4 0.163 0.952 0.315
```

As for the space group: P2_1/c (14). The value obtained for the energy above the most stable polymorph in this dataset is 0 meV per atom.

***

| no. | DFT total energy (eV/atom) | magnetic moment (Bohr magnetons per cell) |
| --- | --- | --- |
| 1 | -5.5699 | 0.424 |
| 2 | -6.0105 | 0.000 |